Entry 1:
This record from the Alexandria database describes crystalline NpRe2W at its relaxed geometry. The functional is GGA-PBE.

The structure in extended XYZ format:
```
4
Lattice="-0.396 -2.311 -2.014 0.828 -2.036 2.173 -6.892 -0.609 2.055" Properties=species:S:1:pos:R:3 pbc="T T T"
Np -3.230 -2.478 1.107
W 0.216 -2.173 0.079
Re -5.379 -0.475 1.604
Re -1.513 -0.134 0.451
```

Computed properties:
The energy relative to the elements comes out at 0.22 eV/atom. As for the density of states at the Fermi level: 5.81 states/eV/cell. The value obtained for the energy is -0.9174 Ry per atom.

Entry 2:
This record from the Alexandria database describes crystalline Sc3TlSb at its relaxed geometry. The functional is GGA-PBE.

The structure in extended XYZ format:
```
5
Lattice="5.309 0.000 0.000 0.000 5.309 0.000 0.000 0.000 5.309" Properties=species:S:1:pos:R:3 pbc="T T T"
Tl 0.000 0.000 0.000
Sc 2.655 0.000 0.000
Sc 0.000 0.000 2.655
Sc 0.000 2.655 0.000
Sb 2.655 2.655 2.655
```

Computed properties:
The calculation puts the offset from the most stable computed form at 327.0 kJ/mol of formula units. As for the density of states at the Fermi level: 5.68 states/eV/cell. The value obtained for the energy is -0.3603 Ry per atom.

Entry 3:
This record from the Alexandria database describes crystalline Sc2AgPd2 at its relaxed geometry. The functional is GGA-PBE.

The structure in extended XYZ format:
```
5
Lattice="3.777 0.000 0.000 0.000 3.777 0.000 1.888 1.888 7.077" Properties=species:S:1:pos:R:3 pbc="T T T"
Sc 3.777 3.777 5.487
Sc 1.888 1.888 1.590
Ag 0.000 0.000 0.000
Pd 3.777 1.888 3.538
Pd 1.888 3.777 3.538
```

Computed properties:
The calculation puts the offset from the most stable computed form at 129.7 kJ/mol of formula units. The energy relative to the elements comes out at -0.43 eV/atom. As for the density of states at the Fermi level: 2.10 states/eV/cell. The value obtained for the energy is -0.4122 Ry per atom.

Entry 4:
This record from the Alexandria database describes crystalline Na2CaH at its relaxed geometry. The functional is GGA-PBE.

The structure in extended XYZ format:
```
8
Lattice="-1.625 6.673 1.543 -6.411 -2.040 2.072 -2.313 1.661 6.440" Properties=species:S:1:pos:R:3 pbc="T T T"
Na -7.173 5.807 7.477
Na -6.342 2.476 6.700
Na -5.192 1.633 3.481
Na -1.991 2.672 2.450
H -6.371 0.969 5.159
H -4.018 2.317 1.807
Ca 0.000 0.000 0.000
Ca -3.978 5.326 4.895
```

Computed properties:
The calculation puts the offset from the most stable computed form at 22.2 kJ/mol of formula units. As for the density of states at the Fermi level: 2.65 states/eV/cell. The value obtained for the energy is -0.1371 Ry per atom.

Entry 5:
This record from the Alexandria database describes crystalline Tb4Y15In at its relaxed geometry. The functional is GGA-PBE.

The structure in extended XYZ format:
```
20
Lattice="-1.786 2.081 4.173 2.363 -3.448 2.731 20.380 14.962 1.262" Properties=species:S:1:pos:R:3 pbc="T T T"
Y 1.068 2.480 2.208
Y 19.600 11.798 2.506
Y 9.297 8.521 2.718
Y 12.544 8.314 4.211
Y 5.183 5.501 2.463
Y 8.413 5.281 3.955
Y 7.257 2.736 1.742
Y 0.288 -0.684 3.452
Y 16.691 11.359 4.468
Y 15.485 8.777 2.251
Y 3.142 -0.285 1.487
Y 13.411 11.542 2.972
Y 4.265 2.236 3.698
Y 17.526 14.563 3.227
Y 11.371 5.757 1.997
In 0.000 0.000 0.000
Tb 4.034 2.962 0.250
Tb 16.345 12.000 1.013
Tb 8.129 5.968 0.504
Tb 12.250 8.994 0.759
```

Computed properties:
The energy relative to the elements comes out at -0.03 eV/atom. As for the density of states at the Fermi level: 25.98 states/eV/cell. The value obtained for the energy is -0.4367 Ry per atom.

Entry 6:
This record from the Alexandria database describes crystalline CsRb2HgCl5 at its relaxed geometry. The functional is GGA-PBE.

The structure in extended XYZ format:
```
9
Lattice="-2.797 -4.092 -1.853 -2.273 -1.713 7.216 -3.714 7.564 -3.543" Properties=species:S:1:pos:R:3 pbc="T T T"
Rb -2.577 1.922 -0.355
Rb -6.207 -0.163 2.176
Cs -1.136 -0.857 3.608
Cl -4.696 -2.165 4.316
Cl -4.088 3.924 -2.495
Cl -3.529 -1.286 0.613
Cl -5.254 3.045 1.208
Cl 0.000 0.000 0.000
Hg -1.399 -2.046 -0.926
```

Computed properties:
As for the density of states at the Fermi level: 0.00 states/eV/cell. The value obtained for the energy is -0.2117 Ry per atom.

Entry 7:
This record from the Alexandria database describes crystalline ErCdGe2 at its relaxed geometry. The functional is GGA-PBE.

The structure in extended XYZ format:
```
4
Lattice="4.082 0.000 0.000 0.000 4.506 0.000 0.000 0.000 4.506" Properties=species:S:1:pos:R:3 pbc="T T T"
Cd 2.041 0.000 0.000
Ge 0.000 2.253 0.000
Ge 0.000 0.000 2.253
Er 2.041 2.253 2.253
```

Computed properties:
The calculation puts the offset from the most stable computed form at 0.0 kJ/mol of formula units. The energy relative to the elements comes out at -0.39 eV/atom. As for the density of states at the Fermi level: 1.63 states/eV/cell. The value obtained for the energy is -0.2987 Ry per atom.

Entry 8:
This record from the Alexandria database describes crystalline Fe2Co4Os at its relaxed geometry. The functional is GGA-PBE.

The structure in extended XYZ format:
```
7
Lattice="4.390 0.000 0.000 0.000 4.390 0.000 2.195 2.195 5.885" Properties=species:S:1:pos:R:3 pbc="T T T"
Co 2.195 2.195 3.481
Co 2.195 0.000 0.000
Co 0.000 2.195 0.000
Co 4.390 4.390 2.404
Fe 2.195 2.195 1.228
Fe 4.390 4.390 4.657
Os 0.000 0.000 0.000
```

Computed properties:
The energy relative to the elements comes out at 1.34 eV/atom. As for the density of states at the Fermi level: 10.45 states/eV/cell. The value obtained for the energy is -0.4954 Ry per atom.

Entry 9:
This record from the Alexandria database describes crystalline Sr3Th2NpAs6 at its relaxed geometry. The functional is GGA-PBE.

The structure in extended XYZ format:
```
12
Lattice="-0.136 -2.545 7.065 6.399 -0.168 -3.929 -0.444 7.470 1.351" Properties=species:S:1:pos:R:3 pbc="T T T"
As 2.456 1.410 -0.748
As 3.364 3.347 5.236
As 0.322 0.634 2.841
As 4.588 -0.363 2.649
As 1.232 5.120 1.839
As 5.498 4.123 1.646
Sr 0.740 1.589 5.895
Sr 5.080 3.168 -1.407
Sr 2.910 2.379 2.244
Th 4.220 -0.961 -0.262
Th 2.044 -1.752 3.399
Np 0.000 0.000 0.000
```

Computed properties:
The energy relative to the elements comes out at -1.19 eV/atom. As for the density of states at the Fermi level: 10.03 states/eV/cell. The value obtained for the energy is -0.4595 Ry per atom.

Entry 10:
This record from the Alexandria database describes crystalline SrZn3S at its relaxed geometry. The functional is GGA-PBE.

The structure in extended XYZ format:
```
5
Lattice="-0.997 -5.255 -2.584 2.687 1.919 -4.938 5.203 -1.998 2.055" Properties=species:S:1:pos:R:3 pbc="T T T"
Zn -0.498 -2.627 -1.292
Zn 1.343 0.959 -2.469
Zn 2.602 -0.999 1.027
S 3.447 -2.667 -2.734
Sr 0.000 0.000 0.000
```

Computed properties:
The calculation puts the offset from the most stable computed form at 382.0 kJ/mol of formula units. As for the density of states at the Fermi level: 6.21 states/eV/cell. The value obtained for the energy is -0.0746 Ry per atom.

Entry 11:
This record from the Alexandria database describes crystalline Nb2IrAu at its relaxed geometry. The functional is GGA-PBE.

The structure in extended XYZ format:
```
4
Lattice="-2.756 0.712 -0.263 -0.303 -0.125 2.840 2.017 8.021 0.567" Properties=species:S:1:pos:R:3 pbc="T T T"
Nb 1.480 5.884 0.416
Nb 0.537 2.137 0.151
Ir -0.521 4.304 1.572
Au -1.530 0.294 1.289
```

Computed properties:
The energy relative to the elements comes out at -0.34 eV/atom. As for the density of states at the Fermi level: 3.24 states/eV/cell. The value obtained for the energy is -0.6184 Ry per atom.

Entry 12:
This record from the Alexandria database describes crystalline GaRuPt2Rh at its relaxed geometry. The functional is GGA-PBE.

The structure in extended XYZ format:
```
5
Lattice="4.740 0.000 0.000 0.000 4.619 0.000 0.000 0.000 4.740" Properties=species:S:1:pos:R:3 pbc="T T T"
Rh 2.370 2.310 2.370
Ru 0.000 0.000 0.000
Pt 0.000 0.000 2.370
Pt 2.370 0.000 0.000
Ga 0.000 2.310 0.000
```

Computed properties:
The energy relative to the elements comes out at 1.17 eV/atom. As for the density of states at the Fermi level: 6.18 states/eV/cell. The value obtained for the energy is -0.3807 Ry per atom.